Entry from Alexandria via LeMat-Bulk: a relaxed FeTcPt4 crystal (PBE).

Fermi-level density of states	4.6	states/eV/f.u.
DFT formation energy	30	kJ per mole of atoms
VASP energy	-41.14	eV per cell

Structure (POSCAR):
```
FeTcPt4
1.0
0.000 3.682 3.682
3.682 0.000 3.682
3.682 3.682 0.000
Fe Tc Pt
1 1 4
direct
0.000 0.000 0.000
0.750 0.750 0.750
0.875 0.375 0.375
0.375 0.375 0.875
0.375 0.875 0.375
0.375 0.375 0.375
```